[1]
Here is a relaxed Pr4Sm5Mg2 crystal from Alexandria via LeMat-Bulk. Energies are from PBE.

a b c (Å): 23.001 3.591 8.889
angles (deg): 90.00 93.49 90.00
Space group C2/m (No. 12)
Unique sites:
Pr1 0.071 0.000 0.212
Pr2 0.213 0.500 0.324
Sm1 0.000 0.500 0.500
Sm2 0.128 0.000 0.603
Sm3 0.184 0.000 0.970
Mg1 0.057 0.500 0.872

ΔH_f (0 K)	0.59	eV/f.u.

[2]
Here is a relaxed Pr2Sm2Mg3 crystal from Alexandria via LeMat-Bulk. Energies are from PBE.

a b c (Å): 3.643 7.026 9.315
angles (deg): 70.83 78.78 74.99
Space group P-1 (No. 2)
Unique sites:
Pr1 0.129 0.055 0.186
Sm1 0.383 0.271 0.461
Mg1 0.166 0.375 0.792
Mg2 0.500 0.500 0.000

ΔH_f (0 K)	0.12	eV/f.u.

[3]
Here is a relaxed Pr4Sm2Mg crystal from Alexandria via LeMat-Bulk. Energies are from PBE.

a b c (Å): 4.790 4.790 11.542
angles (deg): 90.00 90.00 90.00
Space group P-42m (No. 111)
Unique sites:
Pr1 0.240 0.240 0.235
Sm1 0.000 0.500 0.500
Mg1 0.500 0.500 0.000

ΔH_f (0 K)	3.46	eV/f.u.

| no. | magnetization (μB/f.u.) | energy (eV/cell) | density (g cm⁻³) |
| --- | --- | --- | --- |
| 1 | 0.00 | -90.6 | 6.2 |
| 2 | 0.00 | -23.7 | 5.0 |
| 3 | 0.00 | -26.7 | 5.6 |